# Nb2FeCo, optimized geometry, DFT PBE
# - total moment (μB per atom) = 0.100
# - energy of formation (kcal/mol of atoms) = 6.81
# - total DFT energy (no corrections) (eV/cell) = -103.6
# - Fermi-level density of states (states/eV/cell) = 11.3
# - energy above the lowest structure with this stoichiometry (eV/atom) = 0.3301
data_Nb2FeCo
_symmetry_space_group_name_H-M 'R -3 m'
_symmetry_Int_Tables_number 166
_symmetry_space_group_name_Hall '-R 3 2"'
_cell_length_a 3.0794
_cell_length_b 3.0794
_cell_length_c 22.1413
_cell_angle_alpha 90.00
_cell_angle_beta 90.00
_cell_angle_gamma 120.00
loop_
_atom_site_label
_atom_site_fract_x
_atom_site_fract_y
_atom_site_fract_z
Nb1 0.0000 0.0000 0.2499
Fe1 0.0000 0.0000 0.0000
Co1 0.0000 0.0000 0.5000


# NbFeCo, optimized geometry, DFT PBE
# - total moment (μB per atom) = 1.140
# - energy of formation (kcal/mol of atoms) = -0.05
# - total DFT energy (no corrections) (eV/cell) = -51.3
# - Fermi-level density of states (states/eV/cell) = 7.0
# - energy above the lowest structure with this stoichiometry (eV/atom) = 0.1545
data_NbFeCo
_symmetry_space_group_name_H-M 'I 4 m m'
_symmetry_Int_Tables_number 107
_symmetry_space_group_name_Hall 'I 4 -2'
_cell_length_a 3.061
_cell_length_b 3.061
_cell_length_c 8.731
_cell_angle_alpha 90.00
_cell_angle_beta 90.00
_cell_angle_gamma 90.00
loop_
_atom_site_label
_atom_site_fract_x
_atom_site_fract_y
_atom_site_fract_z
Nb1 0.000 0.000 0.000
Fe1 0.000 0.000 0.676
Co1 0.000 0.000 0.324


# NbFe2Co, optimized geometry, DFT PBE
# - total moment (μB per atom) = 1.477
# - energy of formation (kcal/mol of atoms) = 0.67
# - total DFT energy (no corrections) (eV/cell) = -34.0
# - Fermi-level density of states (states/eV/cell) = 3.6
data_NbFe2Co
_symmetry_space_group_name_H-M 'P 4/m m m'
_symmetry_Int_Tables_number 123
_symmetry_space_group_name_Hall '-P 4 2'
_cell_length_a 2.951
_cell_length_b 2.951
_cell_length_c 6.062
_cell_angle_alpha 90.00
_cell_angle_beta 90.00
_cell_angle_gamma 90.00
loop_
_atom_site_label
_atom_site_fract_x
_atom_site_fract_y
_atom_site_fract_z
Nb1 0.000 0.000 0.000
Fe1 0.500 0.500 0.277
Co1 0.000 0.000 0.500


# NbFeCo3, optimized geometry, DFT PBE
# - total moment (μB per atom) = 1.415
# - energy of formation (kcal/mol of atoms) = 22.81
# - total DFT energy (no corrections) (eV/cell) = -34.9
# - Fermi-level density of states (states/eV/cell) = 8.7
# - energy above the lowest structure with this stoichiometry (eV/atom) = 0.6358
data_NbFeCo3
_symmetry_space_group_name_H-M 'P m -3 m'
_symmetry_Int_Tables_number 221
_symmetry_space_group_name_Hall '-P 4 2 3'
_cell_length_a 4.199
_cell_length_b 4.199
_cell_length_c 4.199
_cell_angle_alpha 90.00
_cell_angle_beta 90.00
_cell_angle_gamma 90.00
loop_
_atom_site_label
_atom_site_fract_x
_atom_site_fract_y
_atom_site_fract_z
Nb1 0.000 0.000 0.000
Fe1 0.500 0.500 0.500
Co1 0.000 0.500 0.500


# Nb3Fe4Co2, optimized geometry, DFT PBE
# - total moment (μB per atom) = 1.048
# - energy of formation (kcal/mol of atoms) = 2.00
# - total DFT energy (no corrections) (eV/cell) = -155.0
# - Fermi-level density of states (states/eV/cell) = 18.0
data_Nb3Fe4Co2
_symmetry_space_group_name_H-M 'C 1 2/m 1'
_symmetry_Int_Tables_number 12
_cell_length_a 8.798
_cell_length_b 4.066
_cell_length_c 7.876
_cell_angle_alpha 90.00
_cell_angle_beta 117.23
_cell_angle_gamma 90.00
loop_
_symmetry_equiv_pos_as_xyz
'x,y,z'
'-x,-y,-z'
'-x,y,-z'
'x,-y,z'
'x+1/2,y+1/2,z'
'-x+1/2,-y+1/2,-z'
'-x+1/2,y+1/2,-z'
'x+1/2,-y+1/2,z'
loop_
_atom_site_label
_atom_site_fract_x
_atom_site_fract_y
_atom_site_fract_z
Nb1 0.000 0.000 0.000
Nb2 0.152 0.500 0.686
Fe1 0.108 0.000 0.442
Fe2 0.188 0.500 0.029
Co1 0.118 0.500 0.284


# NbFe2Co, optimized geometry, DFT PBE
# - total moment (μB per atom) = 1.157
# - energy of formation (kcal/mol of atoms) = 9.25
# - total DFT energy (no corrections) (eV/cell) = -130.0
# - Fermi-level density of states (states/eV/cell) = 16.9
data_NbFe2Co
_symmetry_space_group_name_H-M 'I -4 2 d'
_symmetry_Int_Tables_number 122
_symmetry_space_group_name_Hall 'I -4 2bw'
_cell_length_a 3.477
_cell_length_b 3.477
_cell_length_c 18.226
_cell_angle_alpha 90.00
_cell_angle_beta 90.00
_cell_angle_gamma 90.00
loop_
_atom_site_label
_atom_site_fract_x
_atom_site_fract_y
_atom_site_fract_z
Nb1 0.000 0.000 0.000
Fe1 0.234 0.250 0.625
Co1 0.000 0.000 0.500


# Nb2FeCo3, optimized geometry, DFT PBE
# - total moment (μB per atom) = 0.437
# - energy of formation (kcal/mol of atoms) = -3.86
# - total DFT energy (no corrections) (eV/cell) = -101.8
# - Fermi-level density of states (states/eV/cell) = 13.4
# - energy above the lowest structure with this stoichiometry (eV/atom) = 0.0000
data_Nb2FeCo3
_symmetry_space_group_name_H-M 'P 63/m m c'
_symmetry_Int_Tables_number 194
_symmetry_space_group_name_Hall '-P 6c 2c'
_cell_length_a 4.8185
_cell_length_b 4.8185
_cell_length_c 7.6974
_cell_angle_alpha 90.00
_cell_angle_beta 90.00
_cell_angle_gamma 120.00
loop_
_atom_site_label
_atom_site_fract_x
_atom_site_fract_y
_atom_site_fract_z
Nb1 0.3333 0.6667 0.0628
Fe1 0.0000 0.0000 0.0000
Co1 0.1691 0.3382 0.7500


# Nb2FeCo2, optimized geometry, DFT PBE
# - total moment (μB per atom) = 0.000
# - energy of formation (kcal/mol of atoms) = 0.82
# - total DFT energy (no corrections) (eV/cell) = -85.3
# - Fermi-level density of states (states/eV/cell) = 11.4
data_Nb2FeCo2
_symmetry_space_group_name_H-M 'P 4/m b m'
_symmetry_Int_Tables_number 127
_symmetry_space_group_name_Hall '-P 4 2ab'
_cell_length_a 6.354
_cell_length_b 6.354
_cell_length_c 3.418
_cell_angle_alpha 90.00
_cell_angle_beta 90.00
_cell_angle_gamma 90.00
loop_
_atom_site_label
_atom_site_fract_x
_atom_site_fract_y
_atom_site_fract_z
Nb1 0.179 0.321 0.000
Fe1 0.000 0.000 0.500
Co1 0.127 0.627 0.500


Which value of total moment does entry 7 give?
0.437 μB per atom


The highest Fermi-level density of states belongs to which entry?
Nb3Fe4Co2


Repeat the sixth record exactly.
# NbFe2Co, optimized geometry, DFT PBE
# - total moment (μB per atom) = 1.157
# - energy of formation (kcal/mol of atoms) = 9.25
# - total DFT energy (no corrections) (eV/cell) = -130.0
# - Fermi-level density of states (states/eV/cell) = 16.9
data_NbFe2Co
_symmetry_space_group_name_H-M 'I -4 2 d'
_symmetry_Int_Tables_number 122
_symmetry_space_group_name_Hall 'I -4 2bw'
_cell_length_a 3.477
_cell_length_b 3.477
_cell_length_c 18.226
_cell_angle_alpha 90.00
_cell_angle_beta 90.00
_cell_angle_gamma 90.00
loop_
_atom_site_label
_atom_site_fract_x
_atom_site_fract_y
_atom_site_fract_z
Nb1 0.000 0.000 0.000
Fe1 0.234 0.250 0.625
Co1 0.000 0.000 0.500